Below is a geometry-optimized TcIrBr structure, with properties calculated at the GGA-PBE level.

```
TcIrBr
1.0
4.247 0.000 0.000
-2.123 3.678 0.000
0.000 0.000 3.086
Tc Ir Br
1 1 1
Direct
0.000 0.000 0.000
0.667 0.333 0.541
0.333 0.667 0.189
```

Computed properties:
Formation energy (no corrections) ... 0.976 eV/atom
Space group ... No. 156
Volume ... 16.070 Å³/atom
Energy above the most stable polymorph in this dataset ... 417 meV per atom

***

Below is a geometry-optimized AcLa3NdY structure, with properties calculated at the GGA-PBE level.

```
AcLa3NdY
1.0
8.304 0.000 0.000
0.000 5.333 0.000
-3.390 0.000 10.084
Ac La Nd Y
2 6 2 2
Direct
0.170 0.250 0.291
0.830 0.750 0.709
0.170 0.750 0.545
0.172 0.750 0.040
0.173 0.250 0.793
0.827 0.750 0.207
0.828 0.250 0.960
0.830 0.250 0.455
0.497 0.250 0.628
0.503 0.750 0.372
0.497 0.750 0.878
0.503 0.250 0.122
```

Computed properties:
ΔE_f ... 0.026 eV/atom
Space group ... No. 11
Volume ... 37.216 Å³/atom

***

Below is a geometry-optimized Ho3Si8Os3 structure, with properties calculated at the GGA-PBE level.

```
Ho3Si8Os3
1.0
7.494 -2.088 0.000
7.494 2.088 0.000
-4.098 0.000 7.365
Ho Si Os
3 8 3
Direct
0.000 0.000 0.000
0.295 0.295 0.343
0.705 0.705 0.657
0.117 0.117 0.382
0.141 0.141 0.840
0.362 0.362 0.748
0.484 0.484 0.300
0.516 0.516 0.700
0.638 0.638 0.252
0.859 0.859 0.160
0.883 0.883 0.618
0.000 0.000 0.500
0.326 0.326 0.994
0.674 0.674 0.006
```

Computed properties:
Formation energy (no corrections) ... -0.578 eV/atom
Space group ... No. 12
Volume ... 16.461 Å³/atom

***

Below is a geometry-optimized Li3AuS structure, with properties calculated at the GGA-PBE level.

```
Li3AuS
1.0
4.590 0.000 0.000
0.000 4.590 0.000
0.000 0.000 4.590
Li Au S
3 1 1
Direct
0.000 0.000 0.500
0.000 0.500 0.000
0.500 0.000 0.000
0.500 0.500 0.500
0.000 0.000 0.000
```

Computed properties:
Formation energy (no corrections) ... -0.804 eV/atom
Space group ... No. 221
Volume ... 19.340 Å³/atom
Energy above the most stable polymorph in this dataset ... 0 meV per atom